# MgTi2Pd8

An optimized crystal structure of MgTi2Pd8 (PBE, Alexandria).

Excess energy over the best structure of this formula in the dataset   0.00 eV per formula unit
Energy of formation   -0.5592 eV per atom
Electronic total energy   -5.92 eV per atom

```
data_MgTi2Pd8
_chemical_formula_sum 'Mg2 Ti4 Pd16'
_cell_length_a 14.062
_cell_length_b 3.977
_cell_length_c 6.389
_cell_angle_alpha 90.00
_cell_angle_beta 106.78
_cell_angle_gamma 90.00
_space_group_name_H-M_alt 'C 1 2/m 1'
_space_group_IT_number 12
_space_group_name_Hall '-C 2y'
loop_
_atom_site_label
_atom_site_type_symbol
_atom_site_fract_x
_atom_site_fract_y
_atom_site_fract_z
_atom_site_occupancy
Mg1 Mg 0.000 0.000 0.000 1
Ti1 Ti 0.221 0.500 0.666 1
Pd1 Pd 0.043 0.500 0.725 1
Pd2 Pd 0.101 0.000 0.464 1
Pd3 Pd 0.148 0.500 0.207 1
Pd4 Pd 0.179 0.000 0.916 1
```